Entry 1:
A relaxed CaBeNi2 crystal. Source: the Alexandria database, functional GGA-PBEsol.

Unit cell a=3.9275 b=3.9275 c=3.4562 alpha=90.00 beta=90.00 gamma=90.00
Space group P4/mmm (No. 123)
Symmetry-distinct sites (fractional):
Ca 0.0000 0.0000 0.0000 x1
Be 0.5000 0.5000 0.0000 x1
Ni 0.0000 0.5000 0.5000 x2

## Properties
Calculated formation energy = 0.23 eV per atom
Crystal system = tetragonal

---

Entry 2:
A relaxed Ca2BeReNi crystal. Source: the Alexandria database, functional GGA-PBEsol.

Unit cell a=5.2493 b=5.2493 c=4.2448 alpha=90.00 beta=90.00 gamma=90.00
Space group P4/mmm (No. 123)
Symmetry-distinct sites (fractional):
Ca 0.0000 0.5000 0.0000 x2
Be 0.0000 0.0000 0.5000 x1
Re 0.0000 0.0000 0.0000 x1
Ni 0.5000 0.5000 0.5000 x1

## Properties
Calculated formation energy = 1.31 eV per atom
Crystal system = tetragonal

---

Entry 3:
A relaxed Ca3BeO crystal. Source: the Alexandria database, functional GGA-PBEsol.

Unit cell a=5.1968 b=5.1968 c=5.1968 alpha=90.00 beta=90.00 gamma=90.00
Space group Pm-3m (No. 221)
Symmetry-distinct sites (fractional):
Ca 0.0000 0.0000 0.5000 x3
Be 0.0000 0.0000 0.0000 x1
O 0.5000 0.5000 0.5000 x1

## Properties
Raw formation energy = 1.5 eV/f.u.
Crystal system = cubic

---

The records above yield density of states at the Fermi level values of 1.041; 8.313; 3.358 states/eV/f.u., respectively.
The records above yield electronic total energy values of -4.378; -4.242; -2.828 eV per atom, respectively.
The records above yield spin magnetization values of 0.000; 0.149; 0.000 μB per atom, respectively.